Entry 1:
The following is a GGA-PBE calculation of a relaxed PaHgAuI6 crystal, from Alexandria.

a = 7.3706 Å, b = 7.3706 Å, c = 19.1919 Å
α = 90.00°, β = 90.00°, γ = 120.00°
Space group P-31c (No. 163)
Asymmetric unit:
Pa  0.3333  0.6667  0.2500 x2
Hg  0.0000  0.0000  0.0000 x2
Au  0.3333  0.6667  0.7500 x2
I  0.0083  0.3435  0.1579 x12

## Properties
Formation energy without anion corrections ... -0.56 eV/atom

---

Entry 2:
The following is a GGA-PBE calculation of a relaxed YSe4 crystal, from Alexandria.

a = 7.573 Å, b = 7.573 Å, c = 4.670 Å
α = 90.00°, β = 90.00°, γ = 90.00°
Space group I4/m (No. 87)
Asymmetric unit:
Y  0.000  0.000  0.000 x2
Se  0.188  0.285  0.500 x8

## Properties
Formation energy without anion corrections ... -0.64 eV/atom
Energy above the lowest structure with this stoichiometry ... 0.000 eV/atom

---

no.,density (Mg/m³)
1,5.1
2,5.0